# SmAuN PBE-GGA optimized geometry
data_SmAuN
_chemical_formula_sum 'Sm2 Au2 N2'
_space_group_name_H-M_alt 'P 1'
_space_group_IT_number 1
_cell_length_a 3.5615
_cell_length_b 3.5615
_cell_length_c 9.4842
_cell_angle_alpha 100.82
_cell_angle_beta 100.82
_cell_angle_gamma 90.00
loop_
_space_group_symop_operation_xyz
'x,y,z'
loop_
_atom_site_label
_atom_site_type_symbol
_atom_site_fract_x
_atom_site_fract_y
_atom_site_fract_z
Au1 Au 0.9299 0.9299 0.8598
N1 N 0.1921 0.1921 0.3842
Au2 Au 0.0701 0.0701 0.1402
N2 N 0.8079 0.8079 0.6158
Sm1 Sm 0.3192 0.3192 0.6385
Sm2 Sm 0.6808 0.6808 0.3615
# * DFT total energy: -6.322 eV/atom
# * DOS(E_F): 0.026 states/eV per atom
# * formation energy from raw total energies: -0.881 eV per atom
# * energy relative to the lowest polymorph listed for this composition: 43 meV per atom

***

# MnHgTe2N PBE-GGA optimized geometry
data_MnHgTe2N
_chemical_formula_sum 'Mn1 Hg1 Te2 N1'
_space_group_name_H-M_alt 'P 1'
_space_group_IT_number 1
_cell_length_a 5.7790
_cell_length_b 5.7790
_cell_length_c 4.0754
_cell_angle_alpha 90.00
_cell_angle_beta 90.00
_cell_angle_gamma 90.00
loop_
_space_group_symop_operation_xyz
'x,y,z'
loop_
_atom_site_label
_atom_site_type_symbol
_atom_site_fract_x
_atom_site_fract_y
_atom_site_fract_z
Te1 Te 0.0000 0.5000 0.0000
Te2 Te 0.5000 0.0000 0.0000
Mn1 Mn 0.5000 0.5000 0.5000
N1 N 0.0000 0.0000 0.5000
Hg1 Hg 0.0000 0.0000 0.0000
# * DFT total energy: -3.536 eV/atom
# * DOS(E_F): 0.631 states/eV per atom
# * formation energy from raw total energies: 1.280 eV per atom
# * energy relative to the lowest polymorph listed for this composition: 1083 meV per atom

***

# DyCd12Hg6 PBE-GGA optimized geometry
data_DyCd12Hg6
_chemical_formula_sum 'Dy1 Cd12 Hg6'
_space_group_name_H-M_alt 'P 1'
_space_group_IT_number 1
_cell_length_a 7.7946
_cell_length_b 7.7946
_cell_length_c 7.7946
_cell_angle_alpha 91.20
_cell_angle_beta 91.20
_cell_angle_gamma 91.20
loop_
_space_group_symop_operation_xyz
'x,y,z'
loop_
_atom_site_label
_atom_site_type_symbol
_atom_site_fract_x
_atom_site_fract_y
_atom_site_fract_z
Cd1 Cd 0.1971 0.5014 0.5016
Hg1 Hg 0.7644 0.2199 0.2182
Cd2 Cd 0.1124 0.1151 0.3987
Cd3 Cd 0.4986 0.4984 0.8029
Cd4 Cd 0.8849 0.6013 0.8876
Cd5 Cd 0.5016 0.1971 0.5014
Cd6 Cd 0.8876 0.8849 0.6013
Cd7 Cd 0.5014 0.5016 0.1971
Hg2 Hg 0.2199 0.2182 0.7644
Cd8 Cd 0.1151 0.3987 0.1124
Cd9 Cd 0.8029 0.4986 0.4984
Hg3 Hg 0.7818 0.2356 0.7801
Hg4 Hg 0.2182 0.7644 0.2199
Cd10 Cd 0.4984 0.8029 0.4986
Hg5 Hg 0.7801 0.7818 0.2356
Dy1 Dy 0.0000 0.0000 0.0000
Cd11 Cd 0.6013 0.8876 0.8849
Hg6 Hg 0.2356 0.7801 0.7818
Cd12 Cd 0.3987 0.1124 0.1151
# * DFT total energy: -0.949 eV/atom
# * ΔE_f: -0.034 eV/atom
# * DOS(E_F): 0.367 states/eV per atom
# * energy relative to the lowest polymorph listed for this composition: 13 meV per atom

***

# CrCoIr6 PBE-GGA optimized geometry
data_CrCoIr6
_chemical_formula_sum 'Cr1 Co1 Ir6'
_space_group_name_H-M_alt 'P 1'
_space_group_IT_number 1
_cell_length_a 3.8046
_cell_length_b 5.3933
_cell_length_c 5.3933
_cell_angle_alpha 90.00
_cell_angle_beta 90.00
_cell_angle_gamma 90.00
loop_
_space_group_symop_operation_xyz
'x,y,z'
loop_
_atom_site_label
_atom_site_type_symbol
_atom_site_fract_x
_atom_site_fract_y
_atom_site_fract_z
Ir1 Ir 0.0000 0.7509 0.7509
Ir2 Ir 0.0000 0.2493 0.7507
Ir3 Ir 0.5000 0.5000 0.0000
Co1 Co 0.5000 0.5000 0.5000
Cr1 Cr 0.5000 0.0000 0.0000
Ir4 Ir 0.0000 0.2491 0.2491
Ir5 Ir 0.5000 0.0000 0.5000
Ir6 Ir 0.0000 0.7507 0.2493
# * DFT total energy: -8.829 eV/atom
# * ΔE_f: -0.092 eV/atom
# * DOS(E_F): 1.021 states/eV per atom